# Ac5OsAu PBE relaxed
# E_form ... -0.2308 eV/atom
data_Ac5OsAu
_symmetry_space_group_name_H-M 'P 1'
_symmetry_Int_Tables_number 1
_cell_length_a 4.3108
_cell_length_b 7.7289
_cell_length_c 16.5170
_cell_angle_alpha 89.06
_cell_angle_beta 90.00
_cell_angle_gamma 90.00
loop_
_symmetry_equiv_pos_as_xyz
'x,y,z'
loop_
_atom_site_label
_atom_site_type_symbol
_atom_site_fract_x
_atom_site_fract_y
_atom_site_fract_z
Ac1 Ac 0.2500 0.0813 0.3082
Ac2 Ac 0.7500 0.1252 0.9126
Ac3 Ac 0.7500 0.2850 0.4992
Ac4 Ac 0.2500 0.3742 0.0784
Ac5 Ac 0.2500 0.4616 0.7186
Ac6 Ac 0.7500 0.5384 0.2814
Ac7 Ac 0.7500 0.6258 0.9216
Ac8 Ac 0.2500 0.7150 0.5008
Ac9 Ac 0.2500 0.8748 0.0874
Ac10 Ac 0.7500 0.9187 0.6918
Os1 Os 0.2500 0.4094 0.3857
Os2 Os 0.7500 0.5906 0.6143
Au1 Au 0.7500 0.1338 0.1676
Au2 Au 0.2500 0.8662 0.8324


# NpHgI6 PBE relaxed
# E_form (uncorrected) ... -510 meV/atom
# Relative energy among the computed polymorphs ... 12 meV per atom
data_NpHgI6
_symmetry_space_group_name_H-M 'P 1'
_symmetry_Int_Tables_number 1
_cell_length_a 7.5610
_cell_length_b 7.5608
_cell_length_c 8.1883
_cell_angle_alpha 62.52
_cell_angle_beta 62.51
_cell_angle_gamma 59.98
loop_
_symmetry_equiv_pos_as_xyz
'x,y,z'
loop_
_atom_site_label
_atom_site_type_symbol
_atom_site_fract_x
_atom_site_fract_y
_atom_site_fract_z
Np1 Np 0.5000 0.5000 0.5000
Hg1 Hg 0.0000 0.0000 0.0000
I1 I 0.0934 0.4178 0.7475
I2 I 0.7413 0.0933 0.7477
I3 I 0.5823 0.2585 0.2524
I4 I 0.2587 0.9067 0.2523
I5 I 0.9066 0.5822 0.2525
I6 I 0.4177 0.7415 0.7476


# Tb4Ho10Sc PBE relaxed
# E_form ... 0.2490 eV/atom
data_Tb4Ho10Sc
_symmetry_space_group_name_H-M 'P 1'
_symmetry_Int_Tables_number 1
_cell_length_a 7.5772
_cell_length_b 8.8200
_cell_length_c 8.8200
_cell_angle_alpha 79.37
_cell_angle_beta 64.56
_cell_angle_gamma 64.56
loop_
_symmetry_equiv_pos_as_xyz
'x,y,z'
loop_
_atom_site_label
_atom_site_type_symbol
_atom_site_fract_x
_atom_site_fract_y
_atom_site_fract_z
Tb1 Tb 0.2332 0.9999 0.5337
Tb2 Tb 0.7669 0.4663 0.9999
Tb3 Tb 0.2331 0.5337 0.0001
Tb4 Tb 0.7668 0.0001 0.4663
Ho1 Ho 0.2500 0.5000 0.5000
Ho2 Ho 0.7160 0.2084 0.7915
Ho3 Ho 0.0756 0.2085 0.2084
Ho4 Ho 0.4925 0.7915 0.7916
Ho5 Ho 0.7159 0.7916 0.2085
Ho6 Ho 0.2840 0.7916 0.2085
Ho7 Ho 0.7500 0.5000 0.5000
Ho8 Ho 0.2841 0.2084 0.7915
Ho9 Ho 0.5075 0.2085 0.2084
Ho10 Ho 0.9244 0.7915 0.7916
Sc1 Sc 0.0000 0.0000 0.0000


# Pa2Co4Ge3Rh PBE relaxed
# E_form ... -0.5176 eV/atom
data_Pa2Co4Ge3Rh
_symmetry_space_group_name_H-M 'P 1'
_symmetry_Int_Tables_number 1
_cell_length_a 3.7728
_cell_length_b 3.7728
_cell_length_c 10.9889
_cell_angle_alpha 90.00
_cell_angle_beta 90.00
_cell_angle_gamma 90.00
loop_
_symmetry_equiv_pos_as_xyz
'x,y,z'
loop_
_atom_site_label
_atom_site_type_symbol
_atom_site_fract_x
_atom_site_fract_y
_atom_site_fract_z
Pa1 Pa 0.5000 0.0000 0.2643
Pa2 Pa 0.0000 0.5000 0.7357
Co1 Co 0.5000 0.5000 0.0000
Co2 Co 0.0000 0.0000 0.0000
Co3 Co 0.5000 0.0000 0.6667
Co4 Co 0.0000 0.5000 0.3333
Ge1 Ge 0.0000 0.0000 0.5000
Ge2 Ge 0.5000 0.0000 0.8788
Ge3 Ge 0.0000 0.5000 0.1212
Rh1 Rh 0.5000 0.5000 0.5000